This record from Alexandria describes a relaxed structure of Y2MgAg. The functional is PBE-GGA.

The formation energy comes out at -0.137 eV/atom. The magnetization comes out at 0.85 Bohr magnetons per cell. The crystal system is tetragonal. For the calculated volume, the calculation gives 103.31 Å³/f.u. For the energy, the calculation gives -4.481 eV per atom.

The space group is P4mm (No. 99) and the conventional cell measures 3.662, 3.662 and 7.703 Å, with angles of 90.00, 90.00 and 90.00 degrees. The inequivalent atoms are Y at (0.000, 0.000, 0.000), Y at (0.500, 0.500, 0.306), Mg at (0.500, 0.500, 0.732) and Ag at (0.000, 0.000, 0.546).